# Sr3As2O8 | Alexandria via LeMat-Bulk | PBE | relaxed
data_Sr3As2O8
_chemical_formula_sum 'Sr12 As8 O32'
_symmetry_space_group_name_H-M 'P 1 21/c 1'
_symmetry_Int_Tables_number 14
_symmetry_space_group_name_Hall '-P 2ybc'
_cell_length_a 7.1092
_cell_length_b 10.0116
_cell_length_c 12.6011
_cell_angle_alpha 90.00
_cell_angle_beta 96.16
_cell_angle_gamma 90.00
loop_
_atom_site_label
_atom_site_type_symbol
_atom_site_fract_x
_atom_site_fract_y
_atom_site_fract_z
Sr1 Sr 0.1120 0.1801 0.4443
Sr2 Sr 0.2238 0.6559 0.8345
Sr3 Sr 0.3775 0.0466 0.8596
As1 As 0.1107 0.0527 0.1394
As2 As 0.3786 0.5916 0.1211
O1 O 0.0204 0.0940 0.8513
O2 O 0.0226 0.6826 0.4158
O3 O 0.1820 0.0841 0.2716
O4 O 0.1946 0.5619 0.0203
O5 O 0.2829 0.6509 0.2318
O6 O 0.3037 0.0332 0.0676
O7 O 0.4576 0.0644 0.6636
O8 O 0.4698 0.2074 0.4245
# E_form (uncorrected): -2221 meV per atom
# E above lowest polymorph: 52 meV/atom